Pr3HoGe4, optimized geometry, DFT PBE-GGA; E_form = -0.68 eV/atom; energy = -5.353 eV/atom
1.0
4.249 0.000 0.000
0.000 6.399 -0.740
-2.124 -2.268 8.442
Pr Ho Ge
3 1 4
Cartesian
0.000 3.199 -0.370
0.000 0.363 3.146
2.124 3.768 4.556
2.124 0.000 0.000
0.000 1.925 5.847
2.124 2.206 1.856
2.124 4.674 1.570
0.000 -0.543 6.132